Material: Li3SbS
Method: DFT, PBE
State: relaxed

Results
The energy relative to the elements, uncorrected is -0.633 eV/atom. For the volume, the calculation gives 99.2 Å³/cell.

Cell: 4.629 4.629 4.629 Å, 90.00 90.00 90.00°
Atoms (fractional coordinates):
Li: 0.000 0.000 0.500
Li: 0.000 0.500 0.000
Li: 0.500 0.000 0.000
S: 0.000 0.000 0.000
Sb: 0.500 0.500 0.500